# ZnSnGe

ZnSnGe after structural relaxation (GGA-PBE, the Alexandria database).

E_form = 0.142 eV per atom
ΔE to the lowest computed polymorph = 0.000 eV per atom

abc: 6.351 5.097 4.106
angles: 90.00 105.56 90.00
Space group Cm (No. 8)
Symmetry-distinct sites (fractional):
Zn1 0.000 0.000 0.000 x2
Sn1 0.146 0.500 0.357 x2
Ge1 0.313 0.000 0.693 x2

# NdTmZn

NdTmZn after structural relaxation (GGA-PBE, the Alexandria database).

E_form = -0.051 eV per atom
ΔE to the lowest computed polymorph = 0.151 eV per atom

abc: 4.9864 4.9864 3.8069
angles: 90.00 90.00 120.00
Space group P3m1 (No. 156)
Symmetry-distinct sites (fractional):
Nd1 0.0000 0.0000 0.0000 x1
Tm1 0.3333 0.6667 0.5131 x1
Zn1 0.6667 0.3333 0.4444 x1

- The lowest ΔE to the lowest computed polymorph belongs to which entry?
  ZnSnGe